{
  "formula": "CrSiBr2O",
  "functional": "PBE+U",
  "state": "optimized geometry",
  "cell": [[4.8397, 0.0000, 0.0000], [0.0000, 4.8065, 0.0000], [0.0000, 0.0000, 4.8397]],
  "species": ["Br", "Br", "O", "Si", "Cr"],
  "fractional_positions": [[0.5000, 0.0000, 0.0000], [0.0000, 0.0000, 0.5000], [0.5000, 0.5000, 0.5000], [0.0000, 0.5000, 0.0000], [0.0000, 0.0000, 0.0000]],
  "magnetic_moment_mub_per_cell": 1.90,
  "sg": "No. 123",
  "energy_ev_per_atom": -3.2135,
  "dos_at_fermi_per_ev_atom": 1.114
}